The following is a PBE-GGA calculation of a geometry-optimized HoZr2TiN4 structure, from Alexandria.

Results
The raw formation energy is -1.64 eV per atom. The calculation puts the electronic total energy at -9.50 eV/atom. The space group is P2/m (10).

The structure in POSCAR format:
```
HoZr2TiN4
1.0
3.2426 0.0000 0.0000
0.0000 5.6327 0.1092
0.0000 -1.9584 5.2795
N Zr Ho Ti
4 2 1 1
Direct
0.0000 0.7630 0.2548
0.5000 0.7636 0.7554
0.5000 0.2364 0.2446
0.0000 0.2370 0.7452
0.5000 0.0000 0.5000
0.0000 0.5000 0.5000
0.5000 0.5000 0.0000
0.0000 0.0000 0.0000
```